No. 1
This record from Alexandria via LeMat-Bulk describes Ba2MgZn3Sn4 after structural relaxation. The functional is PBE.

Formation energy in meV/atom: -434
Crystal system: tetragonal

Geometry as CIF:
```
data_Ba2MgZn3Sn4
_space_group_name_H-M_alt 'P -4 m 2'
_space_group_IT_number 115
_cell_length_a 4.7996
_cell_length_b 4.7996
_cell_length_c 11.7507
_cell_angle_alpha 90.00
_cell_angle_beta 90.00
_cell_angle_gamma 90.00
loop_
_space_group_symop_operation_xyz
'x,y,z'
'y,-x,-z'
'-x,-y,z'
'-y,x,-z'
'-x,y,z'
'-y,-x,-z'
'x,-y,z'
'y,x,-z'
loop_
_atom_site_label
_atom_site_type_symbol
_atom_site_fract_x
_atom_site_fract_y
_atom_site_fract_z
Ba1 Ba 0.0000 0.5000 0.2483
Mg1 Mg 0.0000 0.0000 0.5000
Zn1 Zn 0.0000 0.5000 0.8674
Zn2 Zn 0.5000 0.5000 0.5000
Sn1 Sn 0.0000 0.0000 0.0000
Sn2 Sn 0.0000 0.5000 0.6364
Sn3 Sn 0.5000 0.5000 0.0000
```

=====

No. 2
This record from Alexandria via LeMat-Bulk describes BaMg2Zn2Sn2 after structural relaxation. The functional is PBE.

Formation energy in meV/atom: -304
Crystal system: trigonal

Geometry as CIF:
```
data_BaMg2Zn2Sn2
_space_group_name_H-M_alt 'R -3 m'
_space_group_IT_number 166
_space_group_name_Hall '-R 3 2"'
_cell_length_a 4.7575
_cell_length_b 4.7575
_cell_length_c 27.3199
_cell_angle_alpha 90.00
_cell_angle_beta 90.00
_cell_angle_gamma 120.00
loop_
_atom_site_label
_atom_site_type_symbol
_atom_site_fract_x
_atom_site_fract_y
_atom_site_fract_z
Ba1 Ba 0.0000 0.0000 0.0000
Mg1 Mg 0.0000 0.0000 0.1396
Zn1 Zn 0.0000 0.0000 0.4509
Sn1 Sn 0.0000 0.0000 0.2500
```

=====

No. 3
This record from Alexandria via LeMat-Bulk describes Ba2MgZn4Sn3 after structural relaxation. The functional is PBE.

Formation energy in meV/atom: -378
Crystal system: tetragonal

Geometry as CIF:
```
data_Ba2MgZn4Sn3
_space_group_name_H-M_alt 'P -4 m 2'
_space_group_IT_number 115
_cell_length_a 4.7112
_cell_length_b 4.7112
_cell_length_c 11.6718
_cell_angle_alpha 90.00
_cell_angle_beta 90.00
_cell_angle_gamma 90.00
loop_
_space_group_symop_operation_xyz
'x,y,z'
'y,-x,-z'
'-x,-y,z'
'-y,x,-z'
'-x,y,z'
'-y,-x,-z'
'x,-y,z'
'y,x,-z'
loop_
_atom_site_label
_atom_site_type_symbol
_atom_site_fract_x
_atom_site_fract_y
_atom_site_fract_z
Ba1 Ba 0.0000 0.5000 0.2385
Mg1 Mg 0.0000 0.0000 0.5000
Zn1 Zn 0.0000 0.0000 0.0000
Zn2 Zn 0.0000 0.5000 0.6365
Zn3 Zn 0.5000 0.5000 0.0000
Sn1 Sn 0.0000 0.5000 0.8714
Sn2 Sn 0.5000 0.5000 0.5000
```

=====

No. 4
This record from Alexandria via LeMat-Bulk describes BaSr2Mg2 after structural relaxation. The functional is PBE.

Formation energy in meV/atom: 111
ΔE to the lowest computed polymorph in meV per atom: 133
Crystal system: tetragonal

Geometry as CIF:
```
data_BaSr2Mg2
_space_group_name_H-M_alt 'I 4/m m m'
_space_group_IT_number 139
_space_group_name_Hall '-I 4 2'
_cell_length_a 4.3315
_cell_length_b 4.3315
_cell_length_c 24.8797
_cell_angle_alpha 90.00
_cell_angle_beta 90.00
_cell_angle_gamma 90.00
loop_
_atom_site_label
_atom_site_type_symbol
_atom_site_fract_x
_atom_site_fract_y
_atom_site_fract_z
Ba1 Ba 0.0000 0.0000 0.0000
Sr1 Sr 0.0000 0.0000 0.3685
Mg1 Mg 0.0000 0.5000 0.2500
```

=====

No. 5
This record from Alexandria via LeMat-Bulk describes Ba4Sr3Mg after structural relaxation. The functional is PBE.

Formation energy in meV/atom: -5
Crystal system: tetragonal

Geometry as CIF:
```
data_Ba4Sr3Mg
_space_group_name_H-M_alt 'P 4/m m m'
_space_group_IT_number 123
_space_group_name_Hall '-P 4 2'
_cell_length_a 4.3800
_cell_length_b 4.3800
_cell_length_c 23.1004
_cell_angle_alpha 90.00
_cell_angle_beta 90.00
_cell_angle_gamma 90.00
loop_
_atom_site_label
_atom_site_type_symbol
_atom_site_fract_x
_atom_site_fract_y
_atom_site_fract_z
Ba1 Ba 0.0000 0.0000 0.0920
Ba2 Ba 0.0000 0.0000 0.3645
Sr1 Sr 0.5000 0.5000 0.2292
Sr2 Sr 0.5000 0.5000 0.5000
Mg1 Mg 0.5000 0.5000 0.0000
```

=====

No. 6
This record from Alexandria via LeMat-Bulk describes BaSr4Mg after structural relaxation. The functional is PBE.

Formation energy in meV/atom: 228
ΔE to the lowest computed polymorph in meV per atom: 235
Crystal system: cubic

Geometry as CIF:
```
data_BaSr4Mg
_space_group_name_H-M_alt 'F -4 3 m'
_space_group_IT_number 216
_space_group_name_Hall 'F -4 2 3'
_cell_length_a 10.9293
_cell_length_b 10.9293
_cell_length_c 10.9293
_cell_angle_alpha 90.00
_cell_angle_beta 90.00
_cell_angle_gamma 90.00
loop_
_atom_site_label
_atom_site_type_symbol
_atom_site_fract_x
_atom_site_fract_y
_atom_site_fract_z
Ba1 Ba 0.0000 0.0000 0.0000
Sr1 Sr 0.1246 0.1246 0.3754
Mg1 Mg 0.2500 0.2500 0.7500
```

=====

No. 7
This record from Alexandria via LeMat-Bulk describes Ba6SrMg after structural relaxation. The functional is PBE.

Formation energy in meV/atom: 95
ΔE to the lowest computed polymorph in meV per atom: 60
Crystal system: monoclinic

Geometry as CIF:
```
data_Ba6SrMg
_space_group_name_H-M_alt 'C 1 2/m 1'
_space_group_IT_number 12
_cell_length_a 9.6788
_cell_length_b 13.8719
_cell_length_c 8.2201
_cell_angle_alpha 90.00
_cell_angle_beta 124.18
_cell_angle_gamma 90.00
loop_
_space_group_symop_operation_xyz
'x,y,z'
'-x,-y,-z'
'-x,y,-z'
'x,-y,z'
'x+1/2,y+1/2,z'
'-x+1/2,-y+1/2,-z'
'-x+1/2,y+1/2,-z'
'x+1/2,-y+1/2,z'
loop_
_atom_site_label
_atom_site_type_symbol
_atom_site_fract_x
_atom_site_fract_y
_atom_site_fract_z
Ba1 Ba 0.0345 0.0000 0.2810
Ba2 Ba 0.2324 0.2675 0.7465
Sr1 Sr 0.0000 0.5000 0.0000
Mg1 Mg 0.0000 0.5000 0.5000
```

=====

No. 8
This record from Alexandria via LeMat-Bulk describes Ba2SrMg after structural relaxation. The functional is PBE.

Formation energy in meV/atom: -25
Crystal system: tetragonal

Geometry as CIF:
```
data_Ba2SrMg
_space_group_name_H-M_alt 'P 4/m m m'
_space_group_IT_number 123
_space_group_name_Hall '-P 4 2'
_cell_length_a 4.4030
_cell_length_b 4.4030
_cell_length_c 10.4925
_cell_angle_alpha 90.00
_cell_angle_beta 90.00
_cell_angle_gamma 90.00
loop_
_atom_site_label
_atom_site_type_symbol
_atom_site_fract_x
_atom_site_fract_y
_atom_site_fract_z
Ba1 Ba 0.0000 0.0000 0.2002
Sr1 Sr 0.5000 0.5000 0.5000
Mg1 Mg 0.5000 0.5000 0.0000
```

=====

| no. | E_tot (eV/atom) |
| --- | --- |
| 1 | -2.9614 |
| 2 | -2.5424 |
| 3 | -2.6328 |
| 4 | -1.5842 |
| 5 | -1.7961 |
| 6 | -1.4799 |
| 7 | -1.7563 |
| 8 | -1.8056 |